[1]
Compound: LaSn2IrPd
Source: the Open Quantum Materials Database
Functional: PBE
Structure: optimized geometry

Computed properties:
energy above the lowest structure with this stoichiometry	0.6	meV per atom
magnetization	0.01	μB/f.u.
calculated density	9.8	g/cm3

Cell lengths 4.647, 4.647, 10.570 Å; angles 90.00, 90.00, 90.00 degrees
Element x y z (fractional)
La (0.250, 0.250, 0.249)
La (0.750, 0.750, 0.751)
Sn (0.250, 0.250, 0.627)
Sn (0.250, 0.750, 0.000)
Sn (0.750, 0.250, 0.000)
Sn (0.750, 0.750, 0.373)
Ir (0.250, 0.250, 0.872)
Ir (0.750, 0.750, 0.128)
Pd (0.250, 0.750, 0.500)
Pd (0.750, 0.250, 0.500)

[2]
Compound: Na2P4PdO12
Source: the Open Quantum Materials Database
Functional: PBE
Structure: optimized geometry

Computed properties:
calculated density	3.1	g/cm3
total DFT energy (no corrections)	-241.0	eV per cell

Cell lengths 6.913, 8.047, 9.121 Å; angles 90.00, 90.98, 90.00 degrees
Element x y z (fractional)
Na (0.229, 0.057, 0.115)
Na (0.229, 0.443, 0.615)
Na (0.771, 0.557, 0.385)
Na (0.771, 0.943, 0.885)
P (0.170, 0.713, 0.926)
P (0.170, 0.787, 0.426)
P (0.329, 0.106, 0.790)
P (0.329, 0.394, 0.290)
P (0.671, 0.606, 0.710)
P (0.671, 0.894, 0.210)
P (0.830, 0.213, 0.574)
P (0.830, 0.287, 0.074)
Pd (0.500, 0.000, 0.500)
Pd (0.500, 0.500, 0.000)
O (0.079, 0.622, 0.419)
O (0.079, 0.878, 0.919)
O (0.126, 0.576, 0.824)
O (0.126, 0.924, 0.324)
O (0.210, 0.218, 0.877)
O (0.210, 0.282, 0.377)
O (0.319, 0.691, 0.050)
O (0.319, 0.809, 0.550)
O (0.340, 0.149, 0.628)
O (0.340, 0.351, 0.128)
O (0.449, 0.535, 0.345)
O (0.449, 0.965, 0.845)
O (0.551, 0.035, 0.155)
O (0.551, 0.465, 0.655)
O (0.660, 0.649, 0.872)
O (0.660, 0.851, 0.372)
O (0.681, 0.191, 0.450)
O (0.681, 0.309, 0.950)
O (0.790, 0.718, 0.623)
O (0.790, 0.782, 0.123)
O (0.874, 0.076, 0.676)
O (0.874, 0.424, 0.176)
O (0.921, 0.122, 0.081)
O (0.921, 0.378, 0.581)

[3]
Compound: TaAlCdCo
Source: the Open Quantum Materials Database
Functional: PBE
Structure: optimized geometry

Computed properties:
energy above the lowest structure with this stoichiometry	160.7	meV per atom
magnetization	1.32	μB/f.u.
calculated density	9.8	g/cm3

Cell lengths 4.492, 4.492, 4.492 Å; angles 60.00, 60.00, 60.00 degrees
Element x y z (fractional)
Ta (0.000, 0.000, 0.000)
Al (0.250, 0.250, 0.250)
Cd (0.750, 0.750, 0.750)
Co (0.500, 0.500, 0.500)

[4]
Compound: SmNbNO
Source: the Open Quantum Materials Database
Functional: PBE
Structure: optimized geometry

Computed properties:
energy above the lowest structure with this stoichiometry	39.2	meV per atom
magnetization	0.00	μB/f.u.
calculated density	7.6	g/cm3

Cell lengths 7.730, 6.659, 4.646 Å; angles 90.00, 90.00, 90.00 degrees
Element x y z (fractional)
Sm (0.133, 0.049, 0.250)
Sm (0.133, 0.451, 0.750)
Sm (0.867, 0.549, 0.250)
Sm (0.867, 0.951, 0.750)
Nb (0.374, 0.608, 0.250)
Nb (0.374, 0.892, 0.750)
Nb (0.626, 0.108, 0.250)
Nb (0.626, 0.392, 0.750)
N (0.416, 0.587, 0.750)
N (0.416, 0.913, 0.250)
N (0.584, 0.087, 0.750)
N (0.584, 0.413, 0.250)
O (0.155, 0.096, 0.750)
O (0.155, 0.404, 0.250)
O (0.845, 0.596, 0.750)
O (0.845, 0.904, 0.250)

[5]
Compound: ZnH16C6N6O10
Source: the Open Quantum Materials Database
Functional: PBE
Structure: optimized geometry

Computed properties:
calculated density	2.0	g/cm3
total DFT energy (no corrections)	-478.5	eV per cell

Cell lengths 8.226, 8.226, 11.205 Å; angles 110.03, 110.03, 74.04 degrees
Element x y z (fractional)
Zn (0.165, 0.835, 0.750)
Zn (0.835, 0.165, 0.250)
H (0.002, 0.766, 0.083)
H (0.031, 0.683, 0.215)
H (0.039, 0.374, 0.275)
H (0.082, 0.198, 0.168)
H (0.169, 0.602, 0.929)
H (0.198, 0.082, 0.668)
H (0.234, 0.998, 0.417)
H (0.258, 0.458, 0.261)
H (0.317, 0.969, 0.285)
H (0.334, 0.426, 0.964)
H (0.359, 0.402, 0.659)
H (0.374, 0.039, 0.775)
H (0.398, 0.831, 0.571)
H (0.402, 0.359, 0.159)
H (0.426, 0.334, 0.464)
H (0.458, 0.258, 0.761)
H (0.542, 0.742, 0.239)
H (0.574, 0.666, 0.536)
H (0.598, 0.641, 0.841)
H (0.602, 0.169, 0.429)
H (0.626, 0.961, 0.225)
H (0.641, 0.598, 0.341)
H (0.666, 0.574, 0.036)
H (0.683, 0.031, 0.715)
H (0.742, 0.542, 0.739)
H (0.766, 0.002, 0.583)
H (0.802, 0.918, 0.332)
H (0.831, 0.398, 0.071)
H (0.918, 0.802, 0.832)
H (0.961, 0.626, 0.725)
H (0.969, 0.317, 0.785)
H (0.998, 0.234, 0.917)
C (0.011, 0.742, 0.469)
C (0.160, 0.586, 0.498)
C (0.202, 0.552, 0.102)
C (0.258, 0.989, 0.031)
C (0.414, 0.840, 0.002)
C (0.448, 0.798, 0.398)
C (0.552, 0.202, 0.602)
C (0.586, 0.160, 0.998)
C (0.742, 0.011, 0.969)
C (0.798, 0.448, 0.898)
C (0.840, 0.414, 0.502)
C (0.989, 0.258, 0.531)
N (0.067, 0.672, 0.133)
N (0.256, 0.542, 0.999)
N (0.287, 0.439, 0.175)
N (0.328, 0.933, 0.367)
N (0.439, 0.287, 0.675)
N (0.458, 0.744, 0.501)
N (0.542, 0.256, 0.499)
N (0.561, 0.713, 0.325)
N (0.672, 0.067, 0.633)
N (0.713, 0.561, 0.825)
N (0.744, 0.458, 0.001)
N (0.933, 0.328, 0.867)
O (0.021, 0.712, 0.804)
O (0.028, 0.141, 0.431)
O (0.061, 0.257, 0.650)
O (0.141, 0.028, 0.931)
O (0.194, 0.458, 0.403)
O (0.239, 0.597, 0.618)
O (0.257, 0.061, 0.150)
O (0.288, 0.979, 0.696)
O (0.403, 0.761, 0.882)
O (0.458, 0.194, 0.903)
O (0.542, 0.806, 0.097)
O (0.597, 0.239, 0.118)
O (0.712, 0.021, 0.304)
O (0.743, 0.939, 0.850)
O (0.761, 0.403, 0.382)
O (0.806, 0.542, 0.597)
O (0.859, 0.972, 0.069)
O (0.939, 0.743, 0.350)
O (0.972, 0.859, 0.569)
O (0.979, 0.288, 0.196)

[6]
Compound: KTbCu3Se4
Source: the Open Quantum Materials Database
Functional: PBE
Structure: optimized geometry

Computed properties:
energy above the lowest structure with this stoichiometry	0.0	meV per atom
magnetization	0.00	μB/f.u.
calculated density	5.3	g/cm3

Cell lengths 6.022, 7.419, 10.149 Å; angles 90.00, 104.03, 90.00 degrees
Element x y z (fractional)
K (0.212, 0.250, 0.407)
K (0.788, 0.750, 0.593)
Tb (0.098, 0.250, 0.807)
Tb (0.902, 0.750, 0.193)
Cu (0.303, 0.568, 0.021)
Cu (0.303, 0.932, 0.021)
Cu (0.427, 0.750, 0.262)
Cu (0.573, 0.250, 0.738)
Cu (0.697, 0.068, 0.979)
Cu (0.697, 0.432, 0.979)
Se (0.037, 0.250, 0.070)
Se (0.226, 0.750, 0.433)
Se (0.397, 0.523, 0.787)
Se (0.397, 0.977, 0.787)
Se (0.603, 0.023, 0.213)
Se (0.603, 0.477, 0.213)
Se (0.774, 0.250, 0.567)
Se (0.963, 0.750, 0.930)

[7]
Compound: LaPrI2O2
Source: the Open Quantum Materials Database
Functional: PBE
Structure: optimized geometry

Computed properties:
magnetization	0.00	μB/f.u.
calculated density	6.0	g/cm3
total DFT energy (no corrections)	-39.1	eV per cell

Cell lengths 4.125, 4.125, 9.271 Å; angles 90.00, 90.00, 90.00 degrees
Element x y z (fractional)
La (0.000, 0.000, 0.000)
Pr (0.500, 0.500, 0.256)
I (0.000, 0.000, 0.459)
I (0.500, 0.500, 0.797)
O (0.000, 0.500, 0.128)
O (0.500, 0.000, 0.128)

[8]
Compound: NpPaAl4
Source: the Open Quantum Materials Database
Functional: PBE
Structure: optimized geometry

Computed properties:
magnetization	5.55	μB/f.u.
calculated density	8.2	g/cm3
total DFT energy (no corrections)	-38.8	eV per cell

Cell lengths 5.487, 5.487, 5.487 Å; angles 60.00, 60.00, 60.00 degrees
Element x y z (fractional)
Np (0.000, 0.000, 0.000)
Pa (0.750, 0.750, 0.750)
Al (0.375, 0.375, 0.375)
Al (0.375, 0.375, 0.876)
Al (0.375, 0.876, 0.375)
Al (0.876, 0.375, 0.375)